First-principles (PBE-GGA) data for Nd5Sm4Er4 after structural relaxation, as listed in Alexandria.

The structure belongs to space group I4/m (No. 87); the cell edges are 13.044, 13.044 and 5.092 Å and the angles 90.00°, 90.00° and 90.00°. The asymmetric unit holds Nd at (0.000, 0.000, 0.000), Nd at (0.040, 0.807, 0.500), Sm at (0.077, 0.616, 0.000) and Er at (0.155, 0.232, 0.000).

The calculation puts the electronic total energy at -121.5 eV per cell. Its formation enthalpy at 0 K is 0.017 eV per atom. For the magnetization, the calculation gives 0.01 μB per formula unit.

***

First-principles (PBE-GGA) data for La6I12N after structural relaxation, as listed in Alexandria.

The structure belongs to space group R-3m (No. 166, hexagonal axes); the cell edges are 11.2304, 11.2304 and 19.7727 Å and the angles 90.00°, 90.00° and 120.00°. The asymmetric unit holds La at (0.0739, 0.5370, 0.2479), I at (0.0339, 0.5170, 0.9036), I at (0.0842, 0.5421, 0.5935) and N at (0.0000, 0.0000, 0.5000).

The calculation puts the electronic total energy at -235.4 eV per cell. The calculation puts the formation energy without anion corrections at -1157 meV/atom. For the magnetization, the calculation gives 0.00 μB per formula unit.

***

First-principles (PBE-GGA) data for KNaBe2As2 after structural relaxation, as listed in Alexandria.

The structure belongs to space group P-3m1 (No. 164); the cell edges are 3.8659, 3.8659 and 9.7624 Å and the angles 90.00°, 90.00° and 120.00°. The asymmetric unit holds K at (0.0000, 0.0000, 0.0000), Na at (0.0000, 0.0000, 0.5000), Be at (0.3333, 0.6667, 0.7275) and As at (0.3333, 0.6667, 0.2694).

The calculation puts the electronic total energy at -21.5 eV per cell. Its formation enthalpy at 0 K is -0.397 eV per atom. For the magnetization, the calculation gives 0.00 μB per formula unit.

***

First-principles (PBE-GGA) data for Cs4CdBi2 after structural relaxation, as listed in Alexandria.

The structure belongs to space group R-3m (No. 166, hexagonal axes); the cell edges are 6.7359, 6.7359 and 32.1013 Å and the angles 90.00°, 90.00° and 120.00°. The asymmetric unit holds Cs at (0.0000, 0.0000, 0.1195), Cs at (0.0000, 0.0000, 0.2915), Cd at (0.0000, 0.0000, 0.5000) and Bi at (0.0000, 0.0000, 0.4133).

The calculation puts the electronic total energy at -44.6 eV per cell. Its formation enthalpy at 0 K is -0.397 eV per atom. For the magnetization, the calculation gives 0.00 μB per formula unit.

***

First-principles (PBE-GGA) data for NiRuW3 after structural relaxation, as listed in Alexandria.

The structure belongs to space group Pm-3m (No. 221); the cell edges are 4.422, 4.422 and 4.422 Å and the angles 90.00°, 90.00° and 90.00°. The asymmetric unit holds Ni at (0.000, 0.000, 0.000), Ru at (0.500, 0.500, 0.500) and W at (0.000, 0.000, 0.500).

The calculation puts the electronic total energy at -45.8 eV per cell. Its formation enthalpy at 0 K is 1.619 eV per atom. For the magnetization, the calculation gives 0.00 μB per formula unit.

***

First-principles (PBE-GGA) data for TaTlOs2 after structural relaxation, as listed in Alexandria.

The structure belongs to space group Immm (No. 71); the cell edges are 3.071, 4.904 and 9.262 Å and the angles 90.00°, 90.00° and 90.00°. The asymmetric unit holds Ta at (0.000, 0.000, 0.000), Tl at (0.000, 0.000, 0.500) and Os at (0.000, 0.500, 0.271).

The calculation puts the electronic total energy at -68.5 eV per cell. The value obtained for the distance to the lowest polymorph of the same formula is 321 meV/atom. Its formation enthalpy at 0 K is 0.602 eV per atom. For the magnetization, the calculation gives 0.00 μB per formula unit.

***

First-principles (PBE-GGA) data for RhS2NCl after structural relaxation, as listed in Alexandria.

The structure belongs to space group P4/mmm (No. 123); the cell edges are 4.210, 4.210 and 4.056 Å and the angles 90.00°, 90.00° and 90.00°. The asymmetric unit holds Rh at (0.000, 0.000, 0.000), S at (0.000, 0.500, 0.500), N at (0.500, 0.500, 0.500) and Cl at (0.500, 0.500, 0.000).

The calculation puts the electronic total energy at -19.1 eV per cell. The calculation puts the formation energy without anion corrections at 1342 meV/atom. The value obtained for the distance to the lowest polymorph of the same formula is 490 meV/atom. For the magnetization, the calculation gives 0.67 μB per formula unit.

***

First-principles (PBE-GGA) data for KRb3Cd2H8 after structural relaxation, as listed in Alexandria.

The structure belongs to space group P-3m1 (No. 164); the cell edges are 6.3687, 6.3687 and 8.2666 Å and the angles 90.00°, 90.00° and 120.00°. The asymmetric unit holds K at (0.0000, 0.0000, 0.0000), Rb at (0.0000, 0.0000, 0.5000), Rb at (0.3333, 0.6667, 0.1768), Cd at (0.3333, 0.6667, 0.7166), H at (0.1780, 0.3559, 0.8017) and H at (0.3333, 0.6667, 0.4999).

The calculation puts the electronic total energy at -34.8 eV per cell. For the magnetization, the calculation gives 0.00 μB per formula unit.

***

First-principles (PBE-GGA) data for Rb2InBF6 after structural relaxation, as listed in Alexandria.

The structure belongs to space group Fm-3m (No. 225); the cell edges are 8.807, 8.807 and 8.807 Å and the angles 90.00°, 90.00° and 90.00°. The asymmetric unit holds Rb at (0.250, 0.250, 0.250), In at (0.000, 0.000, 0.000), B at (0.000, 0.000, 0.500) and F at (0.000, 0.000, 0.240).

The calculation puts the electronic total energy at -170.5 eV per cell. The calculation puts the formation energy without anion corrections at -2004 meV/atom. For the magnetization, the calculation gives 0.00 μB per formula unit.

***

First-principles (PBE-GGA) data for CeInH6Os after structural relaxation, as listed in Alexandria.

The structure belongs to space group P-6 (No. 174); the cell edges are 4.7539, 4.7539 and 4.5859 Å and the angles 90.00°, 90.00° and 120.00°. The asymmetric unit holds Ce at (0.0000, 0.0000, 0.0000), In at (0.3333, 0.6667, 0.5000), H at (0.5269, 0.4699, 0.2063) and Os at (0.6667, 0.3333, 0.5000).

The calculation puts the electronic total energy at -40.6 eV per cell. For the magnetization, the calculation gives 1.05 μB per formula unit.

***

First-principles (PBE-GGA) data for AcGdTlRh after structural relaxation, as listed in Alexandria.

The structure belongs to space group F-43m (No. 216); the cell edges are 7.598, 7.598 and 7.598 Å and the angles 90.00°, 90.00° and 90.00°. The asymmetric unit holds Ac at (0.000, 0.000, 0.000), Gd at (0.000, 0.000, 0.500), Tl at (0.250, 0.250, 0.750) and Rh at (0.250, 0.250, 0.250).

The calculation puts the electronic total energy at -117.3 eV per cell. Its formation enthalpy at 0 K is -0.352 eV per atom. For the magnetization, the calculation gives 7.04 μB per formula unit.

***

First-principles (PBE-GGA) data for Y2InI2 after structural relaxation, as listed in Alexandria.

The structure belongs to space group P4/mbm (No. 127); the cell edges are 8.684, 8.684 and 3.904 Å and the angles 90.00°, 90.00° and 90.00°. The asymmetric unit holds Y at (0.157, 0.343, 0.000), In at (0.000, 0.000, 0.000) and I at (0.138, 0.638, 0.500).

The calculation puts the electronic total energy at -42.4 eV per cell. The calculation puts the formation energy without anion corrections at -489 meV/atom. For the magnetization, the calculation gives 0.00 μB per formula unit.